<P>
Ca2ZrFe: relaxed, PBE-GGA.

Calculated values
calculated volume: 28.07 Å³ per atom

Cell: 3.2885 3.9339 17.3572 Å, 90.00 90.00 90.00°
Closest atoms and distances in Å follow each position.
Space group Immm (No. 71)
Asymmetric unit:
Ca (0.0000, 0.0000, 0.1585) x4  2 Fe 3.21, 2 Ca 3.29, 2 Zr 3.38
Zr (0.0000, 0.5000, 0.0000) x2  4 Fe 2.56
Fe (0.0000, 0.5000, 0.5000) x2  4 Zr 2.56

<Q>
Ca2ZrFe: relaxed, PBE-GGA.

Calculated values
calculated volume: 29.89 Å³ per atom

Cell: 7.8812 3.7333 8.4460 Å, 90.00 105.79 90.00°
Closest atoms and distances in Å follow each position.
Space group Cm (No. 8)
Asymmetric unit:
Ca (0.0000, 0.0000, 0.0000) x2  2 Fe 3.09, 3 Zr 3.32-3.40
Ca (0.1665, 0.0000, 0.5782) x2  2 Fe 3.12, 3 Zr 3.30-3.41
Zr (0.2873, 0.5000, 0.2893) x2  3 Fe 2.40-2.42
Fe (0.4816, 0.0000, 0.2871) x2  3 Zr 2.40-2.42

<R>
Ca2ZrFe: relaxed, PBE-GGA.

Calculated values
calculated volume: 25.20 Å³ per atom

Cell: 3.3189 3.3189 31.6949 Å, 90.00 90.00 120.00°
Closest atoms and distances in Å follow each position.
Space group R-3m (No. 166, hexagonal axes)
Asymmetric unit:
Ca (0.0000, 0.0000, 0.2410) x6  3 Fe 3.04, 6 Ca 3.32
Zr (0.0000, 0.0000, 0.0000) x3  6 Zr 3.32, 6 Ca 3.50
Fe (0.0000, 0.0000, 0.5000) x3  6 Ca 3.04, 6 Fe 3.32

Top of the stability list: <P>, leading by 23 meV/atom.

<P>
Ca2ZrFe: relaxed, PBE-GGA.

Calculated values
calculated volume: 23.87 Å³ per atom

Cell: 5.1238 5.1238 7.2735 Å, 90.00 90.00 90.00°
Closest atoms and distances in Å follow each position.
Space group I-4m2 (No. 119)
Asymmetric unit:
Ca (0.0000, 0.0000, 0.0000) x2  4 Fe 3.14, 4 Ca 3.14
Ca (0.0000, 0.5000, 0.2500) x2  4 Zr 3.14, 4 Ca 3.14
Zr (0.0000, 0.0000, 0.5000) x2  4 Fe 3.14, 4 Ca 3.14
Fe (0.0000, 0.5000, 0.7500) x2  4 Zr 3.14, 4 Ca 3.14

<Q>
Ca2ZrFe: relaxed, PBE-GGA.

Calculated values
calculated volume: 23.80 Å³ per atom

Cell: 7.2479 7.2479 7.2479 Å, 90.00 90.00 90.00°
Closest atoms and distances in Å follow each position.
Space group Fm-3m (No. 225)
Asymmetric unit:
Ca (0.2500, 0.2500, 0.2500) x8  4 Zr 3.14, 4 Fe 3.14
Zr (0.0000, 0.0000, 0.0000) x4  8 Ca 3.14
Fe (0.0000, 0.0000, 0.5000) x4  8 Ca 3.14

Top of the stability list: <P>, leading by 373 meV/atom.

<P>
Ca2ZrFe: relaxed, PBE-GGA.

Calculated values
calculated volume: 24.31 Å³ per atom

Cell: 4.2976 4.3109 5.2488 Å, 90.00 90.00 90.00°
Closest atoms and distances in Å follow each position.
Space group Pmmm (No. 47)
Asymmetric unit:
Ca (0.0000, 0.0000, 0.0000) x1  4 Ca 3.04, 4 Fe 3.39, 4 Zr 3.40
Ca (0.5000, 0.5000, 0.0000) x1  4 Ca 3.04, 4 Zr 3.39, 4 Fe 3.40
Zr (0.0000, 0.5000, 0.5000) x1  4 Fe 3.04, 8 Ca 3.39-3.40
Fe (0.5000, 0.0000, 0.5000) x1  4 Zr 3.04, 8 Ca 3.39-3.40

<Q>
Ca2ZrFe: relaxed, PBE-GGA.

Calculated values
calculated volume: 26.48 Å³ per atom

Cell: 3.4475 3.4445 8.9189 Å, 90.00 90.11 90.00°
Closest atoms and distances in Å follow each position.
Space group Pm (No. 6)
Asymmetric unit:
Ca (0.0000, 0.0000, 0.0000) x1  4 Ca 3.44-3.45, 4 Zr 3.55, 1 Fe 3.66
Ca (0.4984, 0.5000, 0.3574) x1  1 Zr 3.15, 4 Fe 3.19-3.20, 4 Ca 3.44-3.45
Zr (0.4990, 0.5000, 0.7110) x1  4 Fe 2.67
Fe (0.9984, 0.0000, 0.5892) x1  4 Zr 2.67

Top of the stability list: <Q>, leading by 428 meV/atom.

<P>
Ca2ZrFe: relaxed, PBE-GGA.

Calculated values
calculated volume: 25.46 Å³ per atom

Cell: 6.3158 9.9616 3.2373 Å, 90.00 90.17 90.00°
Closest atoms and distances in Å follow each position.
Space group C2/m (No. 12)
Asymmetric unit:
Ca (0.2500, 0.2500, 0.0000) x4  4 Ca 3.16-3.24, 4 Zr 3.36-3.37, 4 Fe 3.36-3.37
Zr (0.0000, 0.0000, 0.5000) x2  2 Fe 3.16, 2 Zr 3.24, 8 Ca 3.36-3.37
Fe (0.0000, 0.5000, 0.5000) x2  2 Zr 3.16, 2 Fe 3.24, 8 Ca 3.36-3.37

<Q>
Ca2ZrFe: relaxed, PBE-GGA.

Calculated values
calculated volume: 25.14 Å³ per atom

Cell: 3.2629 5.0786 6.2071 Å, 90.00 102.16 90.00°
Closest atoms and distances in Å follow each position.
Space group P2/m (No. 10)
Asymmetric unit:
Ca (0.0830, 0.0000, 0.2629) x2  2 Fe 3.10, 4 Ca 3.10-3.26, 4 Zr 3.38-3.45
Zr (0.5000, 0.5000, 0.0000) x1  2 Fe 3.10, 2 Zr 3.26, 8 Ca 3.38-3.45
Fe (0.5000, 0.5000, 0.5000) x1  4 Ca 3.10, 2 Zr 3.10, 2 Fe 3.26

Top of the stability list: <Q>, leading by 25 meV/atom.